K2Nb2Fe | PBE-GGA | optimized geometry

POSCAR file:
```
K2Nb2Fe
1.0
10.493 0.000 0.000
0.000 10.493 0.000
0.000 0.000 2.830
K Nb Fe
4 4 2
Cartesian
2.212 3.035 0.000
3.035 8.281 0.000
7.458 2.212 0.000
8.281 7.458 0.000
0.834 6.081 1.415
4.413 0.834 1.415
6.081 9.659 1.415
9.659 4.413 1.415
0.000 0.000 0.000
5.247 5.247 0.000
```

Properties
- space group = P4/mbm, No. 127
- ΔE_f (eV per atom) = 1.70
- D(E_F) (states/eV per atom) = 1.9089
- energy relative to the lowest polymorph listed for this composition (meV/atom) = 472